Computed, not measured: a geometry-optimized Ho3Pu2N4 structure at the PBE level of DFT.

formation energy (no corrections): -1334.8 meV per atom
density: 11.7 g/cm3

Cell lengths 11.492, 3.415, 8.543 Å; angles 90.00, 118.40, 90.00 degrees
Space group C2/m (No. 12)
Unique sites:
Ho 0.000 0.000 0.000 [2 per cell]
Ho 0.208 0.000 0.814 [4 per cell]
Pu 0.100 0.500 0.393 [4 per cell]
N 0.105 0.500 0.903 [4 per cell]
N 0.194 0.000 0.302 [4 per cell]


Computed, not measured: a geometry-optimized HoPuN2 structure at the PBE level of DFT.

formation energy (no corrections): -1434.0 meV per atom
density: 12.3 g/cm3

Cell lengths 3.4215, 3.4215, 11.5985 Å; angles 90.00, 90.00, 120.00 degrees
Space group P6_3/mmc (No. 194)
Unique sites:
Ho 0.0000 0.0000 0.0000 [2 per cell]
Pu 0.3333 0.6667 0.2500 [2 per cell]
N 0.3333 0.6667 0.6221 [4 per cell]


Computed, not measured: a geometry-optimized HoPuN structure at the PBE level of DFT.

formation energy (no corrections): 281.2 meV per atom
density: 9.4 g/cm3

Cell lengths 4.477, 4.477, 7.475 Å; angles 90.00, 90.00, 90.00 degrees
Space group I4mm (No. 107)
Unique sites:
Ho 0.000 0.000 0.000 [2 per cell]
Pu 0.000 0.000 0.445 [2 per cell]
N 0.000 0.000 0.718 [2 per cell]


Computed, not measured: a geometry-optimized Ho2PuN3 structure at the PBE level of DFT.

formation energy (no corrections): -1212.2 meV per atom
density: 11.4 g/cm3

Cell lengths 13.342, 3.411, 8.331 Å; angles 90.00, 108.80, 90.00 degrees
Space group C2/m (No. 12)
Unique sites:
Ho 0.169 0.000 0.336 [4 per cell]
Ho 0.170 0.500 0.836 [4 per cell]
Pu 0.000 0.000 0.500 [2 per cell]
Pu 0.000 0.500 0.000 [2 per cell]
N 0.027 0.000 0.805 [4 per cell]
N 0.139 0.500 0.527 [4 per cell]
N 0.194 0.500 0.138 [4 per cell]


Computed, not measured: a geometry-optimized Ho2PuRuN4 structure at the PBE level of DFT.

formation energy (no corrections): -978.8 meV per atom
density: 11.0 g/cm3

Cell lengths 3.327, 11.545, 11.498 Å; angles 90.00, 90.00, 90.00 degrees
Space group Cmcm (No. 63)
Unique sites:
Ho 0.000 0.130 0.046 [8 per cell]
Pu 0.000 0.383 0.250 [4 per cell]
Ru 0.000 0.357 0.750 [4 per cell]
N 0.000 0.034 0.250 [4 per cell]
N 0.000 0.227 0.632 [8 per cell]
N 0.000 0.500 0.000 [4 per cell]


Computed, not measured: a geometry-optimized HoPuS2N structure at the PBE level of DFT.

formation energy (no corrections): -1690.2 meV per atom
density: 8.1 g/cm3

Cell lengths 3.813, 3.813, 13.721 Å; angles 90.00, 90.00, 90.00 degrees
Space group P4/nmm (No. 129, origin choice 2)
Unique sites:
Ho 0.250 0.250 0.122 [2 per cell]
Pu 0.250 0.250 0.585 [2 per cell]
S 0.250 0.250 0.309 [2 per cell]
S 0.250 0.250 0.908 [2 per cell]
N 0.250 0.750 0.500 [2 per cell]


Computed, not measured: a geometry-optimized SmHoPu2N4 structure at the PBE level of DFT.

formation energy (no corrections): -1431.6 meV per atom
density: 11.8 g/cm3

Cell lengths 6.026, 3.503, 6.074 Å; angles 90.00, 109.58, 90.00 degrees
Space group P2/m (No. 10)
Unique sites:
Sm 0.000 0.000 0.000 [1 per cell]
Ho 0.000 0.500 0.500 [1 per cell]
Pu 0.500 0.000 0.500 [1 per cell]
Pu 0.500 0.500 0.000 [1 per cell]
N 0.260 0.000 0.747 [2 per cell]
N 0.265 0.500 0.262 [2 per cell]


Computed, not measured: a geometry-optimized SmHoPuN3 structure at the PBE level of DFT.

formation energy (no corrections): -1228.6 meV per atom
density: 8.9 g/cm3

Cell lengths 7.011, 3.527, 9.481 Å; angles 90.00, 106.24, 90.00 degrees
Space group P2_1/m (No. 11)
Unique sites:
Sm 0.089 0.250 0.374 [2 per cell]
Ho 0.441 0.750 0.639 [2 per cell]
Pu 0.286 0.250 0.910 [2 per cell]
N 0.184 0.250 0.641 [2 per cell]
N 0.327 0.750 0.383 [2 per cell]
N 0.460 0.750 0.888 [2 per cell]


no.,spin magnetization (μB/f.u.)
1,11.687
2,4.970
3,6.279
4,4.971
5,3.966
6,3.808
7,9.459
8,4.949